Record 1
Here is a crystal of Lu2TeO6 relaxed with PBEsol from Alexandria via LeMat-Bulk. Energies are from meta-GGA SCAN.

Cell: 9.468 9.468 5.264 Å, 102.55 102.55 69.56°
Positions (direct):
Lu1 0.060 0.280 0.889
Lu2 0.106 0.894 0.750
Lu3 0.280 0.060 0.389
Lu4 0.385 0.615 0.250
Lu5 0.615 0.385 0.750
Lu6 0.720 0.940 0.611
Lu7 0.894 0.106 0.250
Lu8 0.940 0.720 0.111
Te1 0.180 0.502 0.592
Te2 0.498 0.820 0.908
Te3 0.502 0.180 0.092
Te4 0.820 0.498 0.408
O1 0.037 0.461 0.270
O2 0.076 0.104 0.083
O3 0.104 0.076 0.583
O4 0.139 0.685 0.440
O5 0.188 0.624 0.931
O6 0.219 0.304 0.662
O7 0.304 0.219 0.162
O8 0.315 0.861 0.060
O9 0.376 0.812 0.569
O10 0.379 0.463 0.520
O11 0.461 0.037 0.770
O12 0.463 0.379 0.020
O13 0.537 0.621 0.980
O14 0.539 0.963 0.230
O15 0.621 0.537 0.480
O16 0.624 0.188 0.431
O17 0.685 0.139 0.940
O18 0.696 0.781 0.838
O19 0.781 0.696 0.338
O20 0.812 0.376 0.069
O21 0.861 0.315 0.560
O22 0.896 0.924 0.417
O23 0.924 0.896 0.917
O24 0.963 0.539 0.730

## Properties
**Symmetry**: C2/c
**Energy above the most stable polymorph in this dataset**: 65 meV per atom
**E_form (uncorrected)**: -2.80 eV per atom
**DOS at the Fermi energy**: 0.000 states/eV/atom

***

Record 2
Here is a crystal of NdSi2Rh2 relaxed with PBEsol from Alexandria via LeMat-Bulk. Energies are from meta-GGA SCAN.

Cell: 5.797 5.797 5.797 Å, 139.06 139.06 59.28°
Positions (direct):
Nd1 0.000 0.000 0.000
Si1 0.376 0.376 0.000
Si2 0.624 0.624 0.000
Rh1 0.250 0.750 0.500
Rh2 0.750 0.250 0.500

## Properties
**Symmetry**: I4/mmm
**E_form (uncorrected)**: -1.21 eV per atom
**DOS at the Fermi energy**: 0.433 states/eV/atom

***

Record 3
Here is a crystal of RbCdAuS2 relaxed with PBEsol from Alexandria via LeMat-Bulk. Energies are from meta-GGA SCAN.

Cell: 13.647 5.612 6.913 Å, 90.00 90.00 90.00°
Positions (direct):
Rb1 0.000 0.214 0.250
Rb2 0.000 0.786 0.750
Rb3 0.500 0.214 0.750
Rb4 0.500 0.786 0.250
Cd1 0.250 0.500 0.099
Cd2 0.250 0.500 0.599
Cd3 0.750 0.500 0.401
Cd4 0.750 0.500 0.901
Au1 0.250 0.000 0.354
Au2 0.250 0.000 0.854
Au3 0.750 0.000 0.146
Au4 0.750 0.000 0.646
S1 0.135 0.299 0.850
S2 0.135 0.701 0.350
S3 0.365 0.299 0.350
S4 0.365 0.701 0.850
S5 0.635 0.299 0.150
S6 0.635 0.701 0.650
S7 0.865 0.299 0.650
S8 0.865 0.701 0.150

## Properties
**Symmetry**: Pcca
**E_form (uncorrected)**: -0.85 eV per atom
**DOS at the Fermi energy**: 0.000 states/eV/atom

***

Record 4
Here is a crystal of CdTcNi relaxed with PBEsol from Alexandria via LeMat-Bulk. Energies are from meta-GGA SCAN.

Cell: 6.079 6.079 6.079 Å, 154.07 154.07 36.99°
Positions (direct):
Cd1 0.000 0.000 0.000
Tc1 0.308 0.308 0.000
Ni1 0.672 0.672 0.000

## Properties
**Symmetry**: I4mm
**Formation enthalpy at 0 K**: 0.203 eV per atom
**Energy above the most stable polymorph in this dataset**: 0 meV per atom
**DOS at the Fermi energy**: 0.975 states/eV/atom

***

Record 5
Here is a crystal of YTl3Cd relaxed with PBEsol from Alexandria via LeMat-Bulk. Energies are from meta-GGA SCAN.

Cell: 5.384 5.384 5.384 Å, 90.00 90.00 90.00°
Positions (direct):
Y1 0.000 0.000 0.000
Tl1 0.000 0.500 0.500
Tl2 0.500 0.000 0.500
Tl3 0.500 0.500 0.000
Cd1 0.500 0.500 0.500

## Properties
**Symmetry**: Pm-3m
**Formation enthalpy at 0 K**: 0.324 eV per atom
**DOS at the Fermi energy**: 0.535 states/eV/atom

***

Record 6
Here is a crystal of FeSe3O relaxed with PBEsol from Alexandria via LeMat-Bulk. Energies are from meta-GGA SCAN.

Cell: 4.385 4.385 4.385 Å, 90.00 90.00 90.00°
Positions (direct):
Fe1 0.000 0.000 0.000
Se1 0.000 0.500 0.500
Se2 0.500 0.000 0.500
Se3 0.500 0.500 0.000
O1 0.500 0.500 0.500

## Properties
**Symmetry**: Pm-3m
**E_form (uncorrected)**: 0.63 eV per atom
**DOS at the Fermi energy**: 0.975 states/eV/atom